[1]
The following is a DFT calculation (PBE) of HfCo4Si after structural relaxation.

Calculated values
calculated density: 9.49 g/cm3
size of the total moment: 0.86 μB per formula unit
ΔE_f (raw): -0.119 eV/atom

Cell: 4.0740 12.5652 6.0462 Å, 90.00 90.00 90.00°
Last column: nearest neighbours and their distance in Å.
Space group Cmcm (No. 63)
Symmetry-distinct sites (fractional):
Hf (0.0000, 0.1076, 0.2500) x4  1 Co 2.39
Co (0.0000, 0.0826, 0.7500) x4  2 Si 2.21, 1 Hf 2.39
Co (0.0000, 0.2618, 0.5738) x8  3 Co 2.13-2.24, 1 Si 2.25
Co (0.0000, 0.5000, 0.0000) x4  2 Si 2.42
Si (0.0000, 0.3495, 0.2500) x4  6 Co 2.21-2.42


[2]
The following is a DFT calculation (PBE) of TlTcRh2 after structural relaxation.

Calculated values
calculated density: 13.02 g/cm3
size of the total moment: 0.00 μB per formula unit
energy relative to the elements: 294 meV/atom

Cell: 9.1564 2.8633 5.0011 Å, 90.00 98.64 90.00°
Last column: nearest neighbours and their distance in Å.
Space group C2/m (No. 12)
Symmetry-distinct sites (fractional):
Tl (0.0000, 0.0000, 0.0000) x2  6 Rh 2.79-2.90, 2 Tl 2.86, 4 Tc 2.88
Tc (0.0000, 0.5000, 0.5000) x2  6 Rh 2.75, 2 Tc 2.86, 4 Tl 2.88
Rh (0.2444, 0.0000, 0.7267) x4  4 Rh 2.70-2.86, 3 Tc 2.75, 3 Tl 2.79-2.90


Which value of size of the total moment does entry 2 give?
0.00 μB per formula unit


The highest calculated density belongs to which entry?
TlTcRh2


What did the first record say?
The following is a DFT calculation (PBE) of HfCo4Si after structural relaxation.

Calculated values
calculated density: 9.49 g/cm3
size of the total moment: 0.86 μB per formula unit
ΔE_f (raw): -0.119 eV/atom

Cell: 4.0740 12.5652 6.0462 Å, 90.00 90.00 90.00°
Last column: nearest neighbours and their distance in Å.
Space group Cmcm (No. 63)
Symmetry-distinct sites (fractional):
Hf (0.0000, 0.1076, 0.2500) x4  1 Co 2.39
Co (0.0000, 0.0826, 0.7500) x4  2 Si 2.21, 1 Hf 2.39
Co (0.0000, 0.2618, 0.5738) x8  3 Co 2.13-2.24, 1 Si 2.25
Co (0.0000, 0.5000, 0.0000) x4  2 Si 2.42
Si (0.0000, 0.3495, 0.2500) x4  6 Co 2.21-2.42